<1>
CaTlAuSeNF | PBE | relaxed

a = 3.4241 Å, b = 6.3401 Å, c = 6.7383 Å
α = 117.19°, β = 104.68°, γ = 90.04°
Element x y z (fractional)
1 Se 0.9182 0.4165 0.9095
2 Au 0.2612 0.2387 0.5954
3 N 0.6437 0.0869 0.3596
4 Ca 0.9959 0.9900 0.0647
5 F 0.3702 0.8728 0.8134
6 Tl 0.6627 0.7013 0.4113

Computed properties:
- density of states at the Fermi level (states/eV/atom) = 0.1326
- magnetization (μB/f.u.) = 0.0

---

<2>
CaTlAuSeNF | PBE | relaxed

a = 6.9703 Å, b = 3.6118 Å, c = 12.3432 Å
α = 90.00°, β = 114.62°, γ = 90.00°
Element x y z (fractional)
1 Au 0.2576 0.5000 0.8583
2 Au 0.2576 0.0000 0.3583
3 Se 0.0372 0.5000 0.9671
4 Se 0.0372 0.0000 0.4671
5 Tl 0.3761 0.5000 0.1746
6 Tl 0.3761 0.0000 0.6746
7 Ca 0.6929 0.0000 0.9711
8 Ca 0.6929 0.5000 0.4711
9 F 0.6814 0.5000 0.0785
10 F 0.6814 0.0000 0.5785
11 N 0.4948 0.0000 0.2974
12 N 0.4948 0.5000 0.7974

Computed properties:
- density of states at the Fermi level (states/eV/atom) = 0.1846
- magnetization (μB/f.u.) = 0.0

---

Stability, lowest: <2>

---

<1>
CaTlAuSeNF | PBE | relaxed

a = 6.2482 Å, b = 3.5999 Å, c = 7.3304 Å
α = 90.00°, β = 111.46°, γ = 90.00°
Element x y z (fractional)
1 Se 0.5528 0.5000 0.9053
2 N 0.0548 0.5000 0.6222
3 F 0.0886 0.0000 0.1213
4 Ca 0.0532 0.5000 0.9490
5 Tl 0.8140 0.0000 0.3751
6 Au 0.2843 0.0000 0.7209

Computed properties:
- density of states at the Fermi level (states/eV/atom) = 0.0328
- magnetization (μB/f.u.) = 0.0

---

<2>
CaTlAuSeNF | PBE | relaxed

a = 3.9531 Å, b = 5.4881 Å, c = 7.5581 Å
α = 104.44°, β = 104.38°, γ = 105.75°
Element x y z (fractional)
1 Au 0.9948 0.5123 0.7284
2 Se 0.2261 0.1397 0.7211
3 F 0.3940 0.0749 0.1745
4 Tl 0.3254 0.6796 0.4242
5 N 0.8296 0.8379 0.7234
6 Ca 0.8181 0.0530 0.0285

Computed properties:
- magnetization (μB/f.u.) = 0.0

---

Stability, lowest: <1>

---

<1>
CaAuOF2 | PBE | relaxed

a = 4.2467 Å, b = 4.2467 Å, c = 4.6973 Å
α = 90.00°, β = 90.00°, γ = 90.00°
Element x y z (fractional)
1 O 0.0000 0.0000 0.5000
2 Ca 0.0000 0.0000 0.0000
3 F 0.5000 0.0000 0.0000
4 F 0.0000 0.5000 0.0000
5 Au 0.5000 0.5000 0.5000

Computed properties:
- density of states at the Fermi level (states/eV/atom) = 0.9649
- magnetization (μB/f.u.) = 0.0

---

<2>
CaAuOF2 | PBE | relaxed

a = 4.7720 Å, b = 3.7178 Å, c = 4.7720 Å
α = 90.00°, β = 90.00°, γ = 90.00°
Element x y z (fractional)
1 O 0.0000 0.0000 0.0000
2 Au 0.0000 0.5000 0.0000
3 F 0.0000 0.0000 0.5000
4 F 0.5000 0.0000 0.0000
5 Ca 0.5000 0.5000 0.5000

Computed properties:
- density of states at the Fermi level (states/eV/atom) = 0.4470
- magnetization (μB/f.u.) = 0.0

---

<3>
CaAuOF2 | PBE | relaxed

a = 4.4879 Å, b = 4.4879 Å, c = 4.1449 Å
α = 90.00°, β = 90.00°, γ = 90.00°
Element x y z (fractional)
1 Ca 0.5000 0.5000 0.5000
2 O 0.0000 0.0000 0.5000
3 Au 0.0000 0.0000 0.0000
4 F 0.5000 0.0000 0.0000
5 F 0.0000 0.5000 0.0000

Computed properties:
- density of states at the Fermi level (states/eV/atom) = 0.2541
- magnetization (μB/f.u.) = 0.0

---

Stability, lowest: <2>

---

<1>
Ca2PAuF | PBE | relaxed

a = 5.5154 Å, b = 4.1752 Å, c = 5.5154 Å
α = 90.00°, β = 90.00°, γ = 90.00°
Element x y z (fractional)
1 P 0.0000 0.0000 0.0000
2 F 0.0000 0.5000 0.0000
3 Ca 0.0000 0.0000 0.5000
4 Ca 0.5000 0.0000 0.0000
5 Au 0.5000 0.5000 0.5000

Computed properties:
- density of states at the Fermi level (states/eV/atom) = 0.7454
- magnetization (μB/f.u.) = 0.0

---

<2>
Ca2PAuF | PBE | relaxed

a = 5.5627 Å, b = 4.2770 Å, c = 5.5627 Å
α = 90.00°, β = 90.00°, γ = 90.00°
Element x y z (fractional)
1 F 0.0000 0.5000 0.0000
2 Au 0.0000 0.0000 0.0000
3 P 0.5000 0.5000 0.5000
4 Ca 0.5000 0.0000 0.0000
5 Ca 0.0000 0.0000 0.5000

Computed properties:
- density of states at the Fermi level (states/eV/atom) = 0.3388
- magnetization (μB/f.u.) = 0.0

---

Stability, lowest: <2>

---

<1>
CaFe3Au | PBE | relaxed

a = 4.4848 Å, b = 4.4848 Å, c = 4.4848 Å
α = 90.00°, β = 90.00°, γ = 90.00°
Each line ends with the local moment (μB).
Element x y z (fractional)
1 Fe 0.0000 0.5000 0.0000  2.46
2 Fe 0.5000 0.0000 0.0000  2.81
3 Fe 0.0000 0.0000 0.5000  2.34
4 Ca 0.0000 0.0000 0.0000  -0.24
5 Au 0.5000 0.5000 0.5000  0.00

Computed properties:
- density of states at the Fermi level (states/eV/atom) = 1.4369
- magnetization (μB/f.u.) = 7.3

---

<2>
CaFe3Au | PBE | relaxed

a = 4.8413 Å, b = 4.8413 Å, c = 4.8413 Å
α = 90.00°, β = 90.00°, γ = 90.00°
Each line ends with the local moment (μB).
Element x y z (fractional)
1 Fe 0.5000 0.0000 0.0000  2.58
2 Fe 0.0000 0.0000 0.5000  3.35
3 Fe 0.0000 0.5000 0.0000  3.27
4 Ca 0.5000 0.5000 0.5000  -0.09
5 Au 0.0000 0.0000 0.0000  0.15

Computed properties:
- density of states at the Fermi level (states/eV/atom) = 1.6746
- magnetization (μB/f.u.) = 9.1

---

Stability, lowest: <1>

---

<1>
Ca3Ga8Au3 | PBE | relaxed

a = 4.3754 Å, b = 8.3773 Å, c = 8.3773 Å
α = 73.70°, β = 74.86°, γ = 74.86°
Element x y z (fractional)
1 Ca 0.1866 0.8134 0.8134
2 Ca 0.5000 0.5000 0.5000
3 Ca 0.8134 0.1866 0.1866
4 Au 0.0000 0.7834 0.2166
5 Au 0.5000 0.0000 0.0000
6 Au 0.0000 0.2166 0.7834
7 Ga 0.1677 0.2044 0.4602
8 Ga 0.3635 0.9145 0.3584
9 Ga 0.8323 0.5398 0.7956
10 Ga 0.1677 0.4602 0.2044
11 Ga 0.6365 0.6416 0.0855
12 Ga 0.6365 0.0855 0.6416
13 Ga 0.3635 0.3584 0.9145
14 Ga 0.8323 0.7956 0.5398

Computed properties:
- density of states at the Fermi level (states/eV/atom) = 0.3974
- magnetization (μB/f.u.) = 0.0

---

<2>
Ca3Ga8Au3 | PBE | relaxed

a = 4.4144 Å, b = 8.3417 Å, c = 8.4556 Å
α = 71.92°, β = 74.87°, γ = 74.66°
Element x y z (fractional)
1 Ga 0.8549 0.8639 0.4263
2 Ga 0.5015 0.3130 0.6839
3 Ga 0.1451 0.1361 0.5737
4 Ga 0.3412 0.0279 0.2898
5 Ga 0.8562 0.4258 0.8619
6 Ga 0.6588 0.9721 0.7102
7 Ga 0.4985 0.6870 0.3161
8 Ga 0.1438 0.5742 0.1381
9 Ca 0.0000 0.0000 0.0000
10 Ca 0.2968 0.7003 0.7062
11 Ca 0.7032 0.2997 0.2938
12 Au 0.3485 0.2861 0.0169
13 Au 0.0000 0.5000 0.5000
14 Au 0.6515 0.7139 0.9831

Computed properties:
- density of states at the Fermi level (states/eV/atom) = 0.2802
- magnetization (μB/f.u.) = 0.0

---

Stability, lowest: <1>

---

<1>
CaGaAu3 | PBE | relaxed

a = 9.2731 Å, b = 9.2731 Å, c = 9.2731 Å
α = 90.00°, β = 90.00°, γ = 90.00°
Element x y z (fractional)
1 Au 0.5744 0.2623 0.1379
2 Au 0.4256 0.7377 0.8621
3 Au 0.5744 0.2377 0.6379
4 Au 0.7623 0.3621 0.4256
5 Au 0.0744 0.2623 0.3621
6 Au 0.8621 0.0744 0.2377
7 Au 0.1379 0.5744 0.2623
8 Au 0.1379 0.9256 0.7623
9 Au 0.7377 0.8621 0.4256
10 Au 0.4256 0.7623 0.3621
11 Au 0.0744 0.2377 0.8621
12 Au 0.7377 0.6379 0.9256
13 Au 0.3621 0.4256 0.7623
14 Au 0.8621 0.4256 0.7377
15 Au 0.6379 0.9256 0.7377
16 Au 0.2623 0.1379 0.5744
17 Au 0.2377 0.8621 0.0744
18 Au 0.9256 0.7377 0.6379
19 Au 0.7623 0.1379 0.9256
20 Au 0.9256 0.7623 0.1379
21 Au 0.2377 0.6379 0.5744
22 Au 0.6379 0.5744 0.2377
23 Au 0.2623 0.3621 0.0744
24 Au 0.3621 0.0744 0.2623
25 Ca 0.1090 0.6090 0.8910
26 Ca 0.3910 0.1090 0.8910
27 Ca 0.8910 0.3910 0.1090
28 Ca 0.6090 0.6090 0.6090
29 Ca 0.3910 0.3910 0.3910
30 Ca 0.6090 0.8910 0.1090
31 Ca 0.8910 0.1090 0.6090
32 Ca 0.1090 0.8910 0.3910
33 Ga 0.1097 0.3903 0.6097
34 Ga 0.8903 0.8903 0.8903
35 Ga 0.3903 0.6097 0.1097
36 Ga 0.6097 0.3903 0.8903
37 Ga 0.1097 0.1097 0.1097
38 Ga 0.3903 0.8903 0.6097
39 Ga 0.6097 0.1097 0.3903
40 Ga 0.8903 0.6097 0.3903

Computed properties:
- density of states at the Fermi level (states/eV/atom) = 0.4308
- magnetization (μB/f.u.) = 0.0

---

<2>
CaGaAu3 | PBE | relaxed

a = 5.5384 Å, b = 5.5384 Å, c = 5.5384 Å
α = 90.00°, β = 90.00°, γ = 90.00°
Element x y z (fractional)
1 Ga 0.5000 0.5000 0.5000
2 Au 0.5000 0.0000 0.0000
3 Au 0.0000 0.5000 0.0000
4 Au 0.0000 0.0000 0.5000
5 Ca 0.0000 0.0000 0.0000

Computed properties:
- density of states at the Fermi level (states/eV/atom) = 0.0000
- magnetization (μB/f.u.) = 0.0

---

Stability, lowest: <2>

---

<1>
CaGaAu3 | PBE | relaxed

a = 4.8256 Å, b = 9.1244 Å, c = 9.2771 Å
α = 90.00°, β = 90.00°, γ = 90.00°
Element x y z (fractional)
1 Ca 0.2500 0.2336 0.0045
2 Ca 0.7500 0.2664 0.5045
3 Ca 0.7500 0.7664 0.9955
4 Ca 0.2500 0.7336 0.4955
5 Au 0.7500 0.1092 0.1591
6 Au 0.2500 0.3908 0.6591
7 Au 0.7500 0.9254 0.6038
8 Au 0.2500 0.8908 0.8409
9 Au 0.7500 0.6074 0.6564
10 Au 0.2500 0.3926 0.3436
11 Au 0.7500 0.1074 0.8436
12 Au 0.2500 0.0746 0.3962
13 Au 0.2500 0.5746 0.1038
14 Au 0.7500 0.4254 0.8962
15 Au 0.7500 0.6092 0.3409
16 Au 0.2500 0.8926 0.1564
17 Ga 0.7500 0.3919 0.1723
18 Ga 0.7500 0.8919 0.3277
19 Ga 0.2500 0.1081 0.6723
20 Ga 0.2500 0.6081 0.8277

Computed properties:
- density of states at the Fermi level (states/eV/atom) = 0.3488
- magnetization (μB/f.u.) = 0.0

---

<2>
CaGaAu3 | PBE | relaxed

a = 6.6898 Å, b = 6.6898 Å, c = 11.5357 Å
α = 90.00°, β = 90.00°, γ = 120.00°
Element x y z (fractional)
1 Au 0.2746 0.1373 0.2500
2 Au 0.5000 0.0000 0.0000
3 Au 0.1373 0.2746 0.7500
4 Au 0.5000 0.5000 0.5000
5 Au 0.0000 0.5000 0.5000
6 Au 0.0000 0.5000 0.0000
7 Au 0.7254 0.8627 0.7500
8 Au 0.5000 0.5000 0.0000
9 Au 0.8627 0.1373 0.2500
10 Au 0.8627 0.7254 0.2500
11 Au 0.1373 0.8627 0.7500
12 Au 0.5000 0.0000 0.5000
13 Ga 0.6667 0.3333 0.1390
14 Ga 0.6667 0.3333 0.3610
15 Ga 0.3333 0.6667 0.6390
16 Ga 0.3333 0.6667 0.8610
17 Ca 0.6667 0.3333 0.7500
18 Ca 0.0000 0.0000 0.5000
19 Ca 0.3333 0.6667 0.2500
20 Ca 0.0000 0.0000 0.0000

Computed properties:
- density of states at the Fermi level (states/eV/atom) = 0.1892
- magnetization (μB/f.u.) = 0.0

---

<3>
CaGaAu3 | PBE | relaxed

a = 4.9317 Å, b = 4.9317 Å, c = 4.9317 Å
α = 90.00°, β = 90.00°, γ = 90.00°
Element x y z (fractional)
1 Ca 0.5000 0.5000 0.5000
2 Au 0.0000 0.5000 0.0000
3 Au 0.0000 0.0000 0.5000
4 Au 0.5000 0.0000 0.0000
5 Ga 0.0000 0.0000 0.0000

Computed properties:
- density of states at the Fermi level (states/eV/atom) = 0.3423
- magnetization (μB/f.u.) = 0.0

---

Stability, lowest: <3>

---

<1>
Ca2Ga2Au | PBE | relaxed

a = 7.0754 Å, b = 7.0754 Å, c = 4.6308 Å
α = 90.00°, β = 90.00°, γ = 90.00°
Element x y z (fractional)
1 Ca 0.1754 0.6754 0.5000
2 Ca 0.8246 0.3246 0.5000
3 Ca 0.6754 0.8246 0.5000
4 Ca 0.3246 0.1754 0.5000
5 Ga 0.8718 0.6282 0.0000
6 Ga 0.1282 0.3718 0.0000
7 Ga 0.3718 0.8718 0.0000
8 Ga 0.6282 0.1282 0.0000
9 Au 0.0000 0.0000 0.0000
10 Au 0.5000 0.5000 0.0000

Computed properties:
- density of states at the Fermi level (states/eV/atom) = 0.5896
- magnetization (μB/f.u.) = 0.0

---

<2>
Ca2Ga2Au | PBE | relaxed

a = 5.9377 Å, b = 5.9377 Å, c = 5.6055 Å
α = 58.02°, β = 58.02°, γ = 90.00°
Element x y z (fractional)
1 Au 0.0000 0.0000 0.0000
2 Ca 0.2500 0.7500 0.5000
3 Ca 0.7500 0.2500 0.5000
4 Ga 0.6582 0.6582 0.6836
5 Ga 0.3418 0.3418 0.3164

Computed properties:
- density of states at the Fermi level (states/eV/atom) = 0.5923
- magnetization (μB/f.u.) = 0.0

---

Stability, lowest: <2>

---

<1>
Ca2Ga2Au | PBE | relaxed

a = 3.7595 Å, b = 3.7595 Å, c = 9.2483 Å
α = 78.27°, β = 78.27°, γ = 90.00°
Element x y z (fractional)
1 Ga 0.2500 0.7500 0.5000
2 Ga 0.7500 0.2500 0.5000
3 Ca 0.4013 0.4013 0.1974
4 Ca 0.5987 0.5987 0.8026
5 Au 0.0000 0.0000 0.0000

Computed properties:
- density of states at the Fermi level (states/eV/atom) = 0.5630
- magnetization (μB/f.u.) = 0.0

---

<2>
Ca2Ga2Au | PBE | relaxed

a = 3.6739 Å, b = 4.5756 Å, c = 7.2994 Å
α = 108.27°, β = 90.00°, γ = 90.00°
Element x y z (fractional)
1 Ga 0.5000 0.5037 0.0074
2 Ga 0.5000 0.3094 0.6189
3 Ca 0.0000 0.9314 0.8629
4 Ca 0.0000 0.6867 0.3734
5 Au 0.5000 0.1108 0.2216

Computed properties:
- density of states at the Fermi level (states/eV/atom) = 0.5977
- magnetization (μB/f.u.) = 0.0

---

<3>
Ca2Ga2Au | PBE | relaxed

a = 4.5612 Å, b = 5.8517 Å, c = 9.9566 Å
α = 83.12°, β = 76.76°, γ = 67.06°
Element x y z (fractional)
1 Au 0.7746 0.1081 0.3428
2 Au 0.2254 0.8919 0.6572
3 Ca 0.6924 0.7264 0.8889
4 Ca 0.3076 0.2736 0.1111
5 Ca 0.4887 0.6925 0.3300
6 Ca 0.5113 0.3075 0.6700
7 Ga 0.9840 0.1425 0.8894
8 Ga 0.8586 0.7249 0.5578
9 Ga 0.1414 0.2751 0.4422
10 Ga 0.0160 0.8575 0.1106

Computed properties:
- density of states at the Fermi level (states/eV/atom) = 0.6616
- magnetization (μB/f.u.) = 0.0

---

Stability, lowest: <1>